[1]
Entry from Alexandria: YHg after structural relaxation (GGA-PBEsol).

```
YHg
1.0
-3.614 0.288 0.415
-1.562 -1.010 3.139
-0.648 8.469 4.524
Y Hg
2 2
Direct
0.883 0.883 0.350
0.117 0.117 0.650
0.630 0.630 0.111
0.370 0.370 0.889
```

Properties
symmetry = R-3m
DOS(E_F) = 1.6 states/eV/f.u.
DFT total energy = -0.2896 Ry per atom
energy relative to the elements = -5.7 kcal/mol of atoms

[2]
Entry from Alexandria: Tb2Al5Ge2 after structural relaxation (GGA-PBEsol).

```
Tb2Al5Ge2
1.0
-5.103 -2.263 1.208
3.546 -6.234 3.303
2.561 4.707 6.134
Al Tb Ge
10 4 4
Direct
0.470 0.250 0.440
0.700 0.750 0.899
0.030 0.750 0.560
0.000 0.000 0.000
0.970 0.250 0.440
0.200 0.750 0.899
0.500 0.500 0.000
0.800 0.250 0.101
0.300 0.250 0.101
0.530 0.750 0.560
0.385 0.082 0.769
0.615 0.918 0.231
0.885 0.418 0.769
0.115 0.582 0.231
0.320 0.456 0.640
0.820 0.044 0.640
0.680 0.544 0.360
0.180 0.956 0.360
```

Properties
symmetry = Cmce
DOS(E_F) = 3.6 states/eV/f.u.
DFT total energy = -0.3585 Ry per atom
energy relative to the elements = -9.1 kcal/mol of atoms